No. 1
Compound: LiHo2ErHg4
Source: the Alexandria database
Functional: GGA-PBE
Structure: relaxed

space group = R-3m
calculated volume = 24.0 Å³ per atom
ρ = 11.28 g/cm3
calculated formation energy = -0.457 eV per atom

Geometry as POSCAR:
```
LiHo2ErHg4
1.0
5.1252 0.0000 0.0000
2.5626 4.4386 0.0000
2.5626 1.4795 8.4554
Li Ho Er Hg
1 2 1 4
direct
0.5000 0.5000 0.5000
0.7541 0.7541 0.7376
0.2459 0.2459 0.2624
0.0000 0.0000 0.0000
0.3765 0.3765 0.8706
0.8744 0.8744 0.3767
0.1256 0.1256 0.6233
0.6235 0.6235 0.1294
```

No. 2
Compound: Pm2Sm4Y5
Source: the Alexandria database
Functional: GGA-PBE
Structure: relaxed

space group = C2/m
energy above the most stable polymorph in this dataset = 2.5 kJ per mole of atoms
calculated volume = 34.0 Å³ per atom
ρ = 5.94 g/cm3
calculated formation energy = 0.127 eV per atom

Geometry as POSCAR:
```
Pm2Sm4Y5
1.0
7.5354 0.0000 0.0000
3.7677 5.5546 0.7551
3.7677 1.6412 9.1485
Pm Sm Y
2 4 5
direct
0.1447 0.8366 0.8740
0.8553 0.1634 0.1260
0.3186 0.8645 0.4983
0.6814 0.1355 0.5017
0.6758 0.7745 0.8740
0.3242 0.2255 0.1260
0.2133 0.3539 0.7808
0.7867 0.6461 0.2192
0.0000 0.5000 0.5000
0.6520 0.3539 0.7808
0.3480 0.6461 0.2192
```

No. 3
Compound: K3VTc
Source: the Alexandria database
Functional: GGA-PBE
Structure: relaxed

space group = Pm-3m
calculated volume = 53.2 Å³ per atom
ρ = 1.66 g/cm3
calculated formation energy = 1.905 eV per atom

Geometry as POSCAR:
```
K3VTc
1.0
6.4315 0.0000 0.0000
0.0000 6.4315 0.0000
0.0000 0.0000 6.4315
K Tc V
3 1 1
direct
0.0000 0.5000 0.0000
0.0000 0.0000 0.5000
0.5000 0.0000 0.0000
0.5000 0.5000 0.5000
0.0000 0.0000 0.0000
```

The highest calculated volume belongs to which entry? K3VTc